A plane-wave DFT calculation with PBE was carried out for an optimized crystal structure of SmLuPdRu.

The space group is F-43m (No. 216) and the conventional cell measures 6.902, 6.902 and 6.902 Å, with angles of 90.00, 90.00 and 90.00 degrees. The asymmetric unit holds Sm at (0.000, 0.000, 0.000), Lu at (0.000, 0.000, 0.500), Pd at (0.250, 0.250, 0.750) and Ru at (0.250, 0.250, 0.250).

The value obtained for the formation energy is -0.62 eV/atom. The calculation puts the total magnetization at 0.0 μB per formula unit.